[1]
## AcSm2Pt9 (PBE)

Data for a relaxed AcSm2Pt9 crystal.

The total energy comes out at -6.616 eV per atom. For the total magnetization, the calculation gives 0.00 μB per atom. The value obtained for the formation enthalpy at 0 K is -0.96 eV/atom.

a b c (Å): 5.5098 5.5098 26.6955
angles (deg): 90.00 90.00 120.00
With the nearest neighbours (Å) after each atom.
Space group R-3m (No. 166, hexagonal axes)
One atom of each set of equivalent atoms:
Ac 0.0000 0.0000 0.0000 (multiplicity 3)  6 Pt 3.18
Sm 0.0000 0.0000 0.1406 (multiplicity 6)  12 Pt 3.12-3.26, 3 Sm 3.47
Pt 0.0000 0.0000 0.3326 (multiplicity 6)  6 Pt 2.76-2.81
Pt 0.0000 0.0000 0.5000 (multiplicity 3)  6 Pt 2.70
Pt 0.0043 0.5021 0.9143 (multiplicity 18)  7 Pt 2.70-2.81

[2]
## ZrCrCo5 (PBE)

Data for a relaxed ZrCrCo5 crystal.

The total energy comes out at -7.764 eV per atom. For the total magnetization, the calculation gives 0.32 μB per atom. The value obtained for the formation enthalpy at 0 K is -0.09 eV/atom.

a b c (Å): 7.6935 4.6912 9.6079
angles (deg): 90.00 90.00 90.00
With the nearest neighbours (Å) after each atom.
Space group Pnma (No. 62)
One atom of each set of equivalent atoms:
Zr 0.2493 0.2500 0.0590 (multiplicity 4)  7 Co 2.64-2.93
Cr 0.1349 0.2500 0.3537 (multiplicity 4)  3 Co 2.26-2.45
Co 0.0533 0.2500 0.5798 (multiplicity 4)  1 Cr 2.26, 3 Co 2.41-2.47
Co 0.0670 0.5083 0.8041 (multiplicity 8)  7 Co 2.27-2.47, 1 Cr 2.45
Co 0.0994 0.7500 0.0202 (multiplicity 4)  5 Co 2.38-2.44, 1 Cr 2.60, 2 Zr 2.64
Co 0.1860 0.7500 0.2585 (multiplicity 4)  6 Co 2.30-2.41, 2 Cr 2.55

[3]
## Er2HgPd4 (PBE)

Data for a relaxed Er2HgPd4 crystal.

The calculation puts the polymorph energy (0 for the lowest one) at 0 meV/atom. The total energy comes out at -5.024 eV per atom. For the total magnetization, the calculation gives 0.00 μB per atom. The value obtained for the formation enthalpy at 0 K is -0.71 eV/atom.

a b c (Å): 4.0567 4.0567 18.3862
angles (deg): 90.00 90.00 90.00
With the nearest neighbours (Å) after each atom.
Space group I4/mmm (No. 139)
One atom of each set of equivalent atoms:
Er 0.0000 0.0000 0.1328 (multiplicity 4)  8 Pd 2.88-2.96
Hg 0.0000 0.0000 0.5000 (multiplicity 2)  2 Pd 2.67
Pd 0.0000 0.0000 0.3549 (multiplicity 4)  1 Hg 2.67, 4 Pd 2.80, 4 Er 2.88
Pd 0.0000 0.5000 0.2500 (multiplicity 4)  8 Pd 2.80-2.87, 4 Er 2.96

[4]
## Rb2CdCoI6 (PBE)

Data for a relaxed Rb2CdCoI6 crystal.

The total energy comes out at -2.578 eV per atom. For the total magnetization, the calculation gives 0.05 μB per atom.

a b c (Å): 11.4974 11.4974 11.4974
angles (deg): 90.00 90.00 90.00
With the nearest neighbours (Å) after each atom.
Space group Fm-3m (No. 225)
One atom of each set of equivalent atoms:
Rb 0.2500 0.2500 0.2500 (multiplicity 8)  12 I 4.07
Cd 0.0000 0.0000 0.0000 (multiplicity 4)  6 I 3.05
Co 0.0000 0.0000 0.5000 (multiplicity 4)  6 I 2.70
I 0.0000 0.0000 0.2650 (multiplicity 24)  1 Co 2.70

[5]
## TlAg2Ru (PBE)

Data for a relaxed TlAg2Ru crystal.

The calculation puts the polymorph energy (0 for the lowest one) at 88 meV/atom. The total energy comes out at -3.855 eV per atom. For the total magnetization, the calculation gives 0.11 μB per atom. The value obtained for the formation enthalpy at 0 K is 0.48 eV/atom.

a b c (Å): 3.0062 3.0062 28.5420
angles (deg): 90.00 90.00 120.00
With the nearest neighbours (Å) after each atom.
Space group R3m (No. 160, hexagonal axes)
One atom of each set of equivalent atoms:
Tl 0.0000 0.0000 0.0000 (multiplicity 3)  3 Ru 2.88, 6 Tl 3.01, 3 Ag 3.14
Ag 0.0000 0.0000 0.5073 (multiplicity 3)  3 Ru 2.84, 9 Ag 2.92-3.01
Ag 0.0000 0.0000 0.7583 (multiplicity 3)  9 Ag 2.92-3.01, 3 Tl 3.14
Ru 0.0000 0.0000 0.2528 (multiplicity 3)  3 Ag 2.84, 3 Tl 2.88, 6 Ru 3.01

[6]
## Ba2GaPt4 (PBE)

Data for a relaxed Ba2GaPt4 crystal.

The total energy comes out at -4.757 eV per atom. For the total magnetization, the calculation gives 0.00 μB per atom. The value obtained for the formation enthalpy at 0 K is -0.32 eV/atom.

a b c (Å): 4.7829 4.7829 16.5293
angles (deg): 90.00 90.00 90.00
With the nearest neighbours (Å) after each atom.
Space group I4/mmm (No. 139)
One atom of each set of equivalent atoms:
Ba 0.0000 0.0000 0.1498 (multiplicity 4)  9 Pt 3.35-3.44
Ga 0.0000 0.0000 0.5000 (multiplicity 2)  6 Pt 2.39-2.43
Pt 0.0000 0.0000 0.3527 (multiplicity 4)  1 Ga 2.43
Pt 0.0000 0.5000 0.0000 (multiplicity 4)  2 Ga 2.39

[7]
## ErSi2Rh2 (PBE)

Data for a relaxed ErSi2Rh2 crystal.

The calculation puts the polymorph energy (0 for the lowest one) at 113 meV/atom. The total energy comes out at -7.025 eV per atom. For the total magnetization, the calculation gives 0.00 μB per atom.

a b c (Å): 4.0586 4.0586 4.9798
angles (deg): 90.00 90.00 90.00
With the nearest neighbours (Å) after each atom.
Space group P4/mmm (No. 123)
One atom of each set of equivalent atoms:
Er 0.0000 0.0000 0.0000 (multiplicity 1)  8 Si 3.10, 8 Rh 3.21
Si 0.5000 0.5000 0.2340 (multiplicity 2)  1 Si 2.33, 4 Rh 2.42
Rh 0.0000 0.5000 0.5000 (multiplicity 2)  4 Si 2.42

[8]
## SrCu5Ge2 (PBE)

Data for a relaxed SrCu5Ge2 crystal.

The total energy comes out at -4.070 eV per atom. For the total magnetization, the calculation gives 0.00 μB per atom. The value obtained for the formation enthalpy at 0 K is -0.15 eV/atom.

a b c (Å): 4.0700 6.8376 9.5615
angles (deg): 90.00 90.00 90.00
With the nearest neighbours (Å) after each atom.
Space group Immm (No. 71)
One atom of each set of equivalent atoms:
Sr 0.0000 0.0000 0.0000 (multiplicity 2)  4 Ge 3.15, 10 Cu 3.28-3.42
Cu 0.0000 0.1778 0.3603 (multiplicity 8)  4 Cu 2.43-2.72, 3 Ge 2.45-2.59
Cu 0.0000 0.5000 0.0000 (multiplicity 2)  2 Ge 2.37
Ge 0.0000 0.5000 0.2482 (multiplicity 4)  7 Cu 2.37-2.59

Listing calculated density for the structures above in their given order: 16.21; 8.39; 10.55; 4.82; 11.62; 9.88; 8.69; 6.87 g/cm³.